1.
# Na2LaVCl8

Crystalline Na2LaVCl8 at its relaxed geometry (PBE-GGA, Alexandria).

Unit cell a=6.351 b=8.078 c=6.500 alpha=90.00 beta=92.64 gamma=90.00
Space group P2/m (No. 10)
One atom of each set of equivalent atoms:
Na 0.000 0.235 0.000
La 0.500 0.500 0.500
V 0.500 0.000 0.500
Cl 0.221 0.500 0.169
Cl 0.261 0.000 0.214
Cl 0.294 0.217 0.660

---

2.
# LaNb2Cl

Crystalline LaNb2Cl at its relaxed geometry (PBE-GGA, Alexandria).

## Properties
Distance to the lowest polymorph of the same formula ... 0 meV per atom

Unit cell a=3.944 b=3.944 c=23.761 alpha=90.00 beta=90.00 gamma=90.00
Space group I-42d (No. 122)
One atom of each set of equivalent atoms:
La 0.000 0.000 0.000
Nb 0.250 0.250 0.375
Cl 0.000 0.000 0.500

---

3.
# LaNbCl2

Crystalline LaNbCl2 at its relaxed geometry (PBE-GGA, Alexandria).

## Properties
Distance to the lowest polymorph of the same formula ... 156 meV per atom

Unit cell a=4.760 b=4.760 c=17.454 alpha=90.00 beta=90.00 gamma=90.00
Space group I-42d (No. 122)
One atom of each set of equivalent atoms:
La 0.000 0.000 0.000
Nb 0.000 0.000 0.500
Cl 0.206 0.250 0.625

---

4.
# LaNbCl2

Crystalline LaNbCl2 at its relaxed geometry (PBE-GGA, Alexandria).

## Properties
Distance to the lowest polymorph of the same formula ... 371 meV per atom

Unit cell a=6.970 b=6.970 c=6.970 alpha=90.00 beta=90.00 gamma=90.00
Space group Fm-3m (No. 225)
One atom of each set of equivalent atoms:
La 0.000 0.000 0.000
Nb 0.000 0.000 0.500
Cl 0.250 0.250 0.250

---

Uncorrected formation energy
In order: -1.765; 0.073; -0.539; -0.324
Unit: eV/atom